Record 1
VASP calculation (PBE) on crystalline Er2TmMg3AlGa2 at its relaxed geometry.

The structure in CIF format:
```
data_Er2TmMg3AlGa2
_chemical_formula_sum 'Er4 Tm2 Mg6 Al2 Ga4'
_space_group_name_H-M_alt 'A m m 2'
_space_group_IT_number 38
_cell_length_a 4.4735
_cell_length_b 12.4856
_cell_length_c 7.2223
_cell_angle_alpha 90.00
_cell_angle_beta 90.00
_cell_angle_gamma 90.00
loop_
_space_group_symop_operation_xyz
'x,y,z'
'-x,-y,z'
'-x,y,z'
'x,-y,z'
'x,y+1/2,z+1/2'
'-x,-y+1/2,z+1/2'
'-x,y+1/2,z+1/2'
'x,-y+1/2,z+1/2'
loop_
_atom_site_label
_atom_site_type_symbol
_atom_site_fract_x
_atom_site_fract_y
_atom_site_fract_z
Er1 Er 0.0000 0.2178 0.0000
Tm1 Tm 0.0000 0.0000 0.6533
Mg1 Mg 0.5000 0.0000 0.9736
Mg2 Mg 0.5000 0.1222 0.3402
Al1 Al 0.0000 0.0000 0.2188
Ga1 Ga 0.5000 0.1663 0.7178
```


Record 2
VASP calculation (PBE) on crystalline ErTm2Mg3AlGa2 at its relaxed geometry.

The structure in CIF format:
```
data_ErTm2Mg3AlGa2
_chemical_formula_sum 'Er2 Tm4 Mg6 Al2 Ga4'
_space_group_name_H-M_alt 'A m m 2'
_space_group_IT_number 38
_cell_length_a 4.4694
_cell_length_b 12.4939
_cell_length_c 7.1998
_cell_angle_alpha 90.00
_cell_angle_beta 90.00
_cell_angle_gamma 90.00
loop_
_space_group_symop_operation_xyz
'x,y,z'
'-x,-y,z'
'-x,y,z'
'x,-y,z'
'x,y+1/2,z+1/2'
'-x,-y+1/2,z+1/2'
'-x,y+1/2,z+1/2'
'x,-y+1/2,z+1/2'
loop_
_atom_site_label
_atom_site_type_symbol
_atom_site_fract_x
_atom_site_fract_y
_atom_site_fract_z
Er1 Er 0.0000 0.0000 0.0000
Tm1 Tm 0.0000 0.2179 0.6536
Mg1 Mg 0.5000 0.0000 0.6803
Mg2 Mg 0.5000 0.1222 0.3137
Al1 Al 0.0000 0.0000 0.4368
Ga1 Ga 0.5000 0.1670 0.9358
```


Record 3
# PBE ErAlGa3Ni, optimized geometry
data_ErAlGa3Ni
_chemical_formula_sum 'Er4 Al4 Ga12 Ni4'
_space_group_name_H-M_alt 'C m c m'
_space_group_IT_number 63
_space_group_name_Hall '-C 2c 2'
_cell_length_a 4.1019
_cell_length_b 15.1701
_cell_length_c 6.5234
_cell_angle_alpha 90.00
_cell_angle_beta 90.00
_cell_angle_gamma 90.00
loop_
_atom_site_label
_atom_site_type_symbol
_atom_site_fract_x
_atom_site_fract_y
_atom_site_fract_z
Er1 Er 0.0000 0.1233 0.2500
Al1 Al 0.0000 0.5000 0.0000
Ga1 Ga 0.0000 0.0680 0.7500
Ga2 Ga 0.0000 0.3172 0.0495
Ni1 Ni 0.0000 0.2228 0.7500
# Energy above the lowest structure with this stoichiometry (meV/atom): 4


Record 4
# PBE ErAl3GaNi, optimized geometry
data_ErAl3GaNi
_chemical_formula_sum 'Er4 Al12 Ga4 Ni4'
_space_group_name_H-M_alt 'C m c m'
_space_group_IT_number 63
_space_group_name_Hall '-C 2c 2'
_cell_length_a 4.0322
_cell_length_b 15.2207
_cell_length_c 6.6534
_cell_angle_alpha 90.00
_cell_angle_beta 90.00
_cell_angle_gamma 90.00
loop_
_atom_site_label
_atom_site_type_symbol
_atom_site_fract_x
_atom_site_fract_y
_atom_site_fract_z
Er1 Er 0.0000 0.1180 0.2500
Al1 Al 0.0000 0.0750 0.7500
Al2 Al 0.0000 0.3116 0.0533
Ga1 Ga 0.0000 0.5000 0.0000
Ni1 Ni 0.0000 0.2269 0.7500
# Energy above the lowest structure with this stoichiometry (meV/atom): 0


Record 5
# PBE ErAl2Ga2Ni, optimized geometry
data_ErAl2Ga2Ni
_chemical_formula_sum 'Er4 Al8 Ga8 Ni4'
_space_group_name_H-M_alt 'C m c m'
_space_group_IT_number 63
_space_group_name_Hall '-C 2c 2'
_cell_length_a 4.0454
_cell_length_b 15.1403
_cell_length_c 6.6705
_cell_angle_alpha 90.00
_cell_angle_beta 90.00
_cell_angle_gamma 90.00
loop_
_atom_site_label
_atom_site_type_symbol
_atom_site_fract_x
_atom_site_fract_y
_atom_site_fract_z
Er1 Er 0.0000 0.1178 0.2500
Al1 Al 0.0000 0.3118 0.0530
Ga1 Ga 0.0000 0.0723 0.7500
Ga2 Ga 0.0000 0.5000 0.0000
Ni1 Ni 0.0000 0.2266 0.7500
# Energy above the lowest structure with this stoichiometry (meV/atom): 0


Record 6
# PBE ErAlGa3Ni, optimized geometry
data_ErAlGa3Ni
_chemical_formula_sum 'Er4 Al4 Ga12 Ni4'
_space_group_name_H-M_alt 'C m c m'
_space_group_IT_number 63
_space_group_name_Hall '-C 2c 2'
_cell_length_a 4.0516
_cell_length_b 15.2468
_cell_length_c 6.5644
_cell_angle_alpha 90.00
_cell_angle_beta 90.00
_cell_angle_gamma 90.00
loop_
_atom_site_label
_atom_site_type_symbol
_atom_site_fract_x
_atom_site_fract_y
_atom_site_fract_z
Er1 Er 0.0000 0.1207 0.2500
Al1 Al 0.0000 0.0726 0.7500
Ga1 Ga 0.0000 0.3157 0.0512
Ga2 Ga 0.0000 0.5000 0.0000
Ni1 Ni 0.0000 0.2252 0.7500
# Energy above the lowest structure with this stoichiometry (meV/atom): 0


Number 1: E -63.69 eV per cell, calculated volume 22.41 Å³ per atom. Number 2: E -63.45 eV per cell, calculated volume 22.34 Å³ per atom. Number 3: E -104.27 eV per cell, calculated volume 16.91 Å³ per atom. Number 4: E -111.14 eV per cell, calculated volume 17.01 Å³ per atom. Number 5: E -108.33 eV per cell, calculated volume 17.02 Å³ per atom. Number 6: E -104.37 eV per cell, calculated volume 16.90 Å³ per atom.